[1]
A plane-wave DFT calculation with PBE was carried out for a relaxed structure of Ba2SrV.

Cell lengths 8.1427, 8.1427, 8.1427 Å; angles 102.09, 102.09, 125.52 degrees
Positions (direct):
Ba1 0.0596 0.6250 0.9346
Ba2 0.3750 0.3096 0.4346
Ba3 0.6904 0.1250 0.0654
Ba4 0.8750 0.9404 0.5654
Sr1 0.2500 0.7500 0.5000
Sr2 0.5000 0.5000 0.0000
V1 0.0000 0.0000 0.0000
V2 0.7500 0.2500 0.5000

Summary:
Symmetry: No. 122
Energy above the lowest structure with this stoichiometry in meV per atom: 71
Volume in A^3/atom: 48.84
Crystal system: tetragonal
Formation energy from the elements in eV/atom: 0.70



[2]
A plane-wave DFT calculation with PBE was carried out for a relaxed structure of LiTbSmSb.

Cell lengths 5.2594, 5.2594, 5.2594 Å; angles 60.00, 60.00, 60.00 degrees
Positions (direct):
Li1 0.0000 0.0000 0.0000
Tb1 0.2500 0.2500 0.2500
Sm1 0.7500 0.7500 0.7500
Sb1 0.5000 0.5000 0.5000

Summary:
Symmetry: No. 216
Volume in A^3/atom: 25.72
Crystal system: cubic
Raw formation energy in eV/atom: -0.47



[3]
A plane-wave DFT calculation with PBE was carried out for a relaxed structure of RbGeCl5.

Cell lengths 7.2326, 7.2326, 7.2326 Å; angles 113.38, 88.84, 128.57 degrees
Positions (direct):
Rb1 0.0000 0.0000 0.0000
Ge1 0.5055 0.0055 0.5000
Cl1 0.1571 0.6571 0.5000
Cl2 0.4969 0.1823 0.3146
Cl3 0.5101 0.3034 0.7934
Cl4 0.5101 0.7167 0.2066
Cl5 0.8677 0.1823 0.6854

Summary:
Symmetry: No. 44
Volume in A^3/atom: 36.80
Crystal system: orthorhombic
Raw formation energy in eV/atom: -1.15



[4]
A plane-wave DFT calculation with PBE was carried out for a relaxed structure of BaBrCl.

Cell lengths 9.3527, 9.3527, 9.3527 Å; angles 33.38, 33.38, 33.38 degrees
Positions (direct):
Ba1 0.2458 0.2458 0.2458
Ba2 0.7542 0.7542 0.7542
Br1 0.3762 0.3762 0.3762
Br2 0.6238 0.6238 0.6238
Cl1 0.1264 0.1264 0.1264
Cl2 0.8736 0.8736 0.8736

Summary:
Symmetry: No. 166
Energy above the lowest structure with this stoichiometry in meV per atom: 13
Volume in A^3/atom: 36.76
Crystal system: trigonal
Raw formation energy in eV/atom: -2.38



[5]
A plane-wave DFT calculation with PBE was carried out for a relaxed structure of CeSi2Ni4.

Cell lengths 7.2519, 7.2519, 3.6862 Å; angles 90.00, 90.00, 90.00 degrees
Positions (direct):
Ce1 0.0000 0.0000 0.0000
Ce2 0.5000 0.5000 0.5000
Si1 0.2205 0.2205 0.5000
Si2 0.2795 0.7205 0.0000
Si3 0.7205 0.2795 0.0000
Si4 0.7795 0.7795 0.5000
Ni1 0.0877 0.6577 0.5000
Ni2 0.1577 0.4123 0.0000
Ni3 0.3423 0.9123 0.5000
Ni4 0.4123 0.1577 0.0000
Ni5 0.5877 0.8423 0.0000
Ni6 0.6577 0.0877 0.5000
Ni7 0.8423 0.5877 0.0000
Ni8 0.9123 0.3423 0.5000

Summary:
Symmetry: No. 136
Energy above the lowest structure with this stoichiometry in meV per atom: 0
Volume in A^3/atom: 13.85
Crystal system: tetragonal
Raw formation energy in eV/atom: -0.60



[6]
A plane-wave DFT calculation with PBE was carried out for a relaxed structure of YFeOs.

Cell lengths 7.6151, 7.6151, 4.4796 Å; angles 90.00, 90.00, 154.90 degrees
Positions (direct):
Y1 0.0790 0.9210 0.7500
Y2 0.9210 0.0790 0.2500
Fe1 0.2517 0.7483 0.2500
Fe2 0.7483 0.2517 0.7500
Os1 0.3691 0.6309 0.7500
Os2 0.6309 0.3691 0.2500

Summary:
Symmetry: No. 63
Energy above the lowest structure with this stoichiometry in meV per atom: 418
Volume in A^3/atom: 18.37
Crystal system: orthorhombic
Formation energy from the elements in eV/atom: 0.19



[7]
A plane-wave DFT calculation with PBE was carried out for a relaxed structure of ScPa3Se4.

Cell lengths 7.2416, 7.9678, 6.7357 Å; angles 90.00, 108.96, 90.00 degrees
Positions (direct):
Sc1 0.0000 0.1253 0.2500
Sc2 0.0000 0.8747 0.7500
Pa1 0.0000 0.3775 0.7500
Pa2 0.0000 0.6225 0.2500
Pa3 0.5000 0.1250 0.7500
Pa4 0.5000 0.3780 0.2500
Pa5 0.5000 0.6220 0.7500
Pa6 0.5000 0.8750 0.2500
Se1 0.2352 0.1188 0.9992
Se2 0.2352 0.8812 0.4992
Se3 0.2415 0.3658 0.4922
Se4 0.2415 0.6342 0.9922
Se5 0.7585 0.3658 0.0078
Se6 0.7585 0.6342 0.5078
Se7 0.7648 0.1188 0.5008
Se8 0.7648 0.8812 0.0008

Summary:
Symmetry: No. 13
Volume in A^3/atom: 22.97
Crystal system: monoclinic
Raw formation energy in eV/atom: -1.29



[8]
A plane-wave DFT calculation with PBE was carried out for a relaxed structure of HfBe3Re.

Cell lengths 4.2639, 4.2639, 4.2639 Å; angles 90.00, 90.00, 90.00 degrees
Positions (direct):
Hf1 0.0000 0.0000 0.0000
Be1 0.0000 0.0000 0.5000
Be2 0.0000 0.5000 0.0000
Be3 0.5000 0.0000 0.0000
Re1 0.5000 0.5000 0.5000

Summary:
Symmetry: No. 221
Energy above the lowest structure with this stoichiometry in meV per atom: 1863
Volume in A^3/atom: 15.50
Crystal system: cubic
Formation energy from the elements in eV/atom: 2.33



Per-record E, eV/cell: -23.71; -17.27; -22.85; -25.17; -88.24; -51.16; -118.09; -21.92